Record 1
A plane-wave DFT calculation with GGA-PBEsol was carried out for TlRe2As after structural relaxation.

SG = No. 225
Excess energy over the best structure of this formula in the dataset = 229 meV per atom
Mass density = 16.91 g/cm³
ΔH_f (0 K) = 937.7 meV per atom
D(E_F) = 3.3 states/eV/cell
Total magnetic moment = 0.00 μB/f.u.

a b c (Å): 4.490 4.490 4.490
angles (deg): 60.00 60.00 60.00
Element x y z (fractional)
1 Tl 0.000 0.000 0.000
2 Re 0.250 0.250 0.250
3 Re 0.750 0.750 0.750
4 As 0.500 0.500 0.500

Record 2
A plane-wave DFT calculation with GGA-PBEsol was carried out for Tl2ReAs after structural relaxation.

SG = No. 225
Excess energy over the best structure of this formula in the dataset = 848 meV per atom
Mass density = 13.86 g/cm³
ΔH_f (0 K) = 1139.1 meV per atom
D(E_F) = 3.0 states/eV/cell
Total magnetic moment = 0.00 μB/f.u.

a b c (Å): 4.842 4.842 4.842
angles (deg): 60.00 60.00 60.00
Element x y z (fractional)
1 Tl 0.250 0.250 0.250
2 Tl 0.750 0.750 0.750
3 Re 0.000 0.000 0.000
4 As 0.500 0.500 0.500

Record 3
A plane-wave DFT calculation with GGA-PBEsol was carried out for Tl2ReAs after structural relaxation.

SG = No. 99
Excess energy over the best structure of this formula in the dataset = 0 meV per atom
Mass density = 13.18 g/cm³
ΔH_f (0 K) = 290.8 meV per atom
D(E_F) = 2.5 states/eV/cell
Total magnetic moment = 0.00 μB/f.u.

a b c (Å): 3.126 3.126 8.635
angles (deg): 90.00 90.00 90.00
Element x y z (fractional)
1 Tl 0.000 0.000 0.000
2 Tl 0.500 0.500 0.320
3 Re 0.500 0.500 0.758
4 As 0.000 0.000 0.614

Record 4
A plane-wave DFT calculation with GGA-PBEsol was carried out for TlRe2As after structural relaxation.

SG = No. 123
Excess energy over the best structure of this formula in the dataset = 0 meV per atom
Mass density = 16.70 g/cm³
ΔH_f (0 K) = 709.0 meV per atom
D(E_F) = 3.3 states/eV/cell
Total magnetic moment = 0.00 μB/f.u.

a b c (Å): 3.085 3.085 6.810
angles (deg): 90.00 90.00 90.00
Element x y z (fractional)
1 Tl 0.000 0.000 0.000
2 Re 0.500 0.500 0.296
3 Re 0.500 0.500 0.704
4 As 0.000 0.000 0.500

Record 5
A plane-wave DFT calculation with GGA-PBEsol was carried out for Tl2ReAs after structural relaxation.

SG = No. 8
Excess energy over the best structure of this formula in the dataset = 264 meV per atom
Mass density = 13.34 g/cm³
ΔH_f (0 K) = 555.1 meV per atom
D(E_F) = 2.4 states/eV/cell
Total magnetic moment = 0.00 μB/f.u.

a b c (Å): 5.769 5.769 5.055
angles (deg): 107.35 107.35 31.40
Element x y z (fractional)
1 Tl 0.000 0.000 0.000
2 Tl 0.201 0.201 0.644
3 Re 0.746 0.746 0.154
4 As 0.409 0.409 0.414

Record 6
A plane-wave DFT calculation with GGA-PBEsol was carried out for TlRe2As after structural relaxation.

SG = No. 123
Excess energy over the best structure of this formula in the dataset = 243 meV per atom
Mass density = 16.88 g/cm³
ΔH_f (0 K) = 952.4 meV per atom
D(E_F) = 3.4 states/eV/cell
Total magnetic moment = 0.00 μB/f.u.

a b c (Å): 4.482 4.482 3.191
angles (deg): 90.00 90.00 90.00
Element x y z (fractional)
1 Tl 0.000 0.000 0.000
2 Re 0.000 0.500 0.500
3 Re 0.500 0.000 0.500
4 As 0.500 0.500 0.000

Record 7
A plane-wave DFT calculation with GGA-PBEsol was carried out for Re3AsW after structural relaxation.

SG = No. 221
Mass density = 15.72 g/cm³
ΔH_f (0 K) = 1788.8 meV per atom
D(E_F) = 4.0 states/eV/cell
Total magnetic moment = 0.00 μB/f.u.

a b c (Å): 4.420 4.420 4.420
angles (deg): 90.00 90.00 90.00
Element x y z (fractional)
1 Re 0.000 0.000 0.500
2 Re 0.000 0.500 0.000
3 Re 0.500 0.000 0.000
4 As 0.000 0.000 0.000
5 W 0.500 0.500 0.500

Record 8
A plane-wave DFT calculation with GGA-PBEsol was carried out for Re2AsW after structural relaxation.

SG = No. 123
Mass density = 17.74 g/cm³
ΔH_f (0 K) = 179.7 meV per atom
D(E_F) = 2.7 states/eV/cell
Total magnetic moment = 0.00 μB/f.u.

a b c (Å): 3.044 3.044 6.376
angles (deg): 90.00 90.00 90.00
Element x y z (fractional)
1 Re 0.000 0.000 0.244
2 Re 0.000 0.000 0.756
3 As 0.500 0.500 0.000
4 W 0.500 0.500 0.500

Record 9
A plane-wave DFT calculation with GGA-PBEsol was carried out for Re2AsW after structural relaxation.

SG = No. 160
Mass density = 17.45 g/cm³
ΔH_f (0 K) = 232.4 meV per atom
D(E_F) = 3.3 states/eV/cell
Total magnetic moment = 0.00 μB/f.u.

a b c (Å): 8.846 8.846 8.846
angles (deg): 18.37 18.37 18.37
Element x y z (fractional)
1 Re 0.000 0.000 0.000
2 Re 0.252 0.252 0.252
3 As 0.749 0.749 0.749
4 W 0.499 0.499 0.499

Record 10
A plane-wave DFT calculation with GGA-PBEsol was carried out for Re2AsW after structural relaxation.

SG = No. 47
Mass density = 17.60 g/cm³
ΔH_f (0 K) = 378.6 meV per atom
D(E_F) = 3.2 states/eV/cell
Total magnetic moment = 0.00 μB/f.u.

a b c (Å): 2.976 4.442 4.504
angles (deg): 90.00 90.00 90.00
Element x y z (fractional)
1 Re 0.000 0.000 0.000
2 Re 0.500 0.000 0.500
3 As 0.000 0.500 0.500
4 W 0.500 0.500 0.000

Record 11
A plane-wave DFT calculation with GGA-PBEsol was carried out for YReAs after structural relaxation.

SG = No. 156
Excess energy over the best structure of this formula in the dataset = 254 meV per atom
Mass density = 9.72 g/cm³
ΔH_f (0 K) = -24.8 meV per atom
D(E_F) = 1.2 states/eV/cell
Total magnetic moment = 0.00 μB/f.u.

a b c (Å): 3.477 3.477 5.711
angles (deg): 90.00 90.00 120.00
Element x y z (fractional)
1 Y 0.000 0.000 0.000
2 Re 0.667 0.333 0.398
3 As 0.333 0.667 0.646

Record 12
A plane-wave DFT calculation with GGA-PBEsol was carried out for YReAs after structural relaxation.

SG = No. 187
Excess energy over the best structure of this formula in the dataset = 0 meV per atom
Mass density = 10.12 g/cm³
ΔH_f (0 K) = -278.3 meV per atom
D(E_F) = 1.7 states/eV/cell
Total magnetic moment = 0.00 μB/f.u.

a b c (Å): 4.293 4.293 3.599
angles (deg): 90.00 90.00 120.00
Element x y z (fractional)
1 Y 0.000 0.000 0.000
2 Re 0.667 0.333 0.500
3 As 0.333 0.667 0.500

Record 13
A plane-wave DFT calculation with GGA-PBEsol was carried out for YReAs after structural relaxation.

SG = No. 216
Excess energy over the best structure of this formula in the dataset = 1346 meV per atom
Mass density = 8.63 g/cm³
ΔH_f (0 K) = 1067.5 meV per atom
D(E_F) = 5.9 states/eV/cell
Total magnetic moment = 0.75 μB/f.u.

a b c (Å): 4.568 4.568 4.568
angles (deg): 60.00 60.00 60.00
Element x y z (fractional)
1 Y 0.000 0.000 0.000
2 Re 0.750 0.750 0.750
3 As 0.250 0.250 0.250

Record 14
A plane-wave DFT calculation with GGA-PBEsol was carried out for Y3ReAs after structural relaxation.

SG = No. 221
Mass density = 6.30 g/cm³
ΔH_f (0 K) = 507.9 meV per atom
D(E_F) = 6.9 states/eV/cell
Total magnetic moment = 0.61 μB/f.u.

a b c (Å): 5.182 5.182 5.182
angles (deg): 90.00 90.00 90.00
Element x y z (fractional)
1 Y 0.000 0.000 0.500
2 Y 0.000 0.500 0.000
3 Y 0.500 0.000 0.000
4 Re 0.500 0.500 0.500
5 As 0.000 0.000 0.000

Record 15
A plane-wave DFT calculation with GGA-PBEsol was carried out for Zn2ReAs after structural relaxation.

SG = No. 99
Mass density = 11.34 g/cm³
ΔH_f (0 K) = 116.6 meV per atom
D(E_F) = 0.8 states/eV/cell
Total magnetic moment = 0.00 μB/f.u.

a b c (Å): 3.238 3.238 5.472
angles (deg): 90.00 90.00 90.00
Element x y z (fractional)
1 Zn 0.000 0.000 0.000
2 Zn 0.500 0.500 0.221
3 Re 0.500 0.500 0.725
4 As 0.000 0.000 0.504

Record 16
A plane-wave DFT calculation with GGA-PBEsol was carried out for Zn2ReAs after structural relaxation.

SG = No. 139
Mass density = 11.39 g/cm³
ΔH_f (0 K) = 317.5 meV per atom
D(E_F) = 2.2 states/eV/cell
Total magnetic moment = 0.00 μB/f.u.

a b c (Å): 5.007 5.007 5.007
angles (deg): 137.24 137.24 62.06
Element x y z (fractional)
1 Zn 0.250 0.750 0.500
2 Zn 0.750 0.250 0.500
3 Re 0.000 0.000 0.000
4 As 0.500 0.500 0.000

Record 17
A plane-wave DFT calculation with GGA-PBEsol was carried out for Zn2ReAs after structural relaxation.

SG = No. 44
Mass density = 11.23 g/cm³
ΔH_f (0 K) = 268.5 meV per atom
D(E_F) = 1.4 states/eV/cell
Total magnetic moment = 0.00 μB/f.u.

a b c (Å): 4.914 4.914 4.914
angles (deg): 141.00 127.99 66.88
Element x y z (fractional)
1 Zn 0.000 0.000 0.000
2 Zn 0.759 0.259 0.500
3 Re 0.494 0.494 0.000
4 As 0.260 0.760 0.500

Record 18
A plane-wave DFT calculation with GGA-PBEsol was carried out for Zr2ReAs after structural relaxation.

SG = No. 216
Mass density = 10.68 g/cm³
ΔH_f (0 K) = -51.2 meV per atom
D(E_F) = 4.6 states/eV/cell
Total magnetic moment = 0.01 μB/f.u.

a b c (Å): 4.603 4.603 4.603
angles (deg): 60.00 60.00 60.00
Element x y z (fractional)
1 Zr 0.000 0.000 0.000
2 Zr 0.250 0.250 0.250
3 Re 0.500 0.500 0.500
4 As 0.750 0.750 0.750

Record 19
A plane-wave DFT calculation with GGA-PBEsol was carried out for Zr2ReAs after structural relaxation.

SG = No. 139
Mass density = 10.42 g/cm³
ΔH_f (0 K) = -326.5 meV per atom
D(E_F) = 2.3 states/eV/cell
Total magnetic moment = 0.00 μB/f.u.

a b c (Å): 4.868 4.868 4.868
angles (deg): 127.33 127.33 77.71
Element x y z (fractional)
1 Zr 0.250 0.750 0.500
2 Zr 0.750 0.250 0.500
3 Re 0.000 0.000 0.000
4 As 0.500 0.500 0.000

Record 20
A plane-wave DFT calculation with GGA-PBEsol was carried out for ZrRe2As after structural relaxation.

SG = No. 65
Mass density = 13.69 g/cm³
ΔH_f (0 K) = 294.6 meV per atom
D(E_F) = 2.3 states/eV/cell
Total magnetic moment = 0.00 μB/f.u.

a b c (Å): 2.937 2.937 8.245
angles (deg): 90.00 90.00 113.26
Element x y z (fractional)
1 Zr 0.000 0.000 0.000
2 Re 0.500 0.500 0.269
3 Re 0.500 0.500 0.731
4 As 0.000 0.000 0.500